Entry 1:
Entry from Alexandria via LeMat-Bulk: an optimized crystal structure of LiSmZrTl (PBE-GGA).

abc: 5.1596 5.1596 5.1596
angles: 60.00 60.00 60.00
Fractional positions:
Tl 0.2500 0.2500 0.2500
Zr 0.0000 0.0000 0.0000
Sm 0.5000 0.5000 0.5000
Li 0.7500 0.7500 0.7500

Results
- raw total energy (eV per atom) = -4.395
- spin magnetization (μB/f.u.) = 0.00
- space group = No. 216


Entry 2:
Entry from Alexandria via LeMat-Bulk: an optimized crystal structure of Cd2Ni4H (PBE-GGA).

abc: 3.6977 3.6977 7.0256
angles: 74.74 74.74 90.00
Fractional positions:
Ni 0.1333 0.1333 0.7334
Ni 0.8667 0.8667 0.2666
Ni 0.0000 0.5000 0.0000
Ni 0.5000 0.0000 0.0000
H 0.0000 0.0000 0.0000
Cd 0.3366 0.3366 0.3267
Cd 0.6634 0.6634 0.6733

Results
- raw total energy (eV per atom) = -3.962
- spin magnetization (μB/f.u.) = 0.26
- space group = No. 139


Entry 3:
Entry from Alexandria via LeMat-Bulk: an optimized crystal structure of KNaHgS2 (PBE-GGA).

abc: 5.0957 5.9338 5.0957
angles: 90.00 90.00 90.00
Fractional positions:
S 0.0000 0.0000 0.5000
S 0.5000 0.0000 0.0000
Na 0.0000 0.0000 0.0000
K 0.0000 0.5000 0.0000
Hg 0.5000 0.5000 0.5000

Results
- raw total energy (eV per atom) = -2.199
- formation energy (no corrections) (kJ/mol of formula units) = -2
- spin magnetization (μB/f.u.) = 0.00
- space group = No. 123


Entry 4:
Entry from Alexandria via LeMat-Bulk: an optimized crystal structure of DyZnCu (PBE-GGA).

abc: 4.3098 4.5346 6.7669
angles: 109.23 96.39 70.14
Fractional positions:
Dy 0.3636 0.4523 0.2679
Dy 0.3632 0.7179 0.8019
Zn 0.0351 0.2480 0.5372
Zn 0.6916 0.9223 0.5324
Cu 0.8598 0.8739 0.1150
Cu 0.8652 0.2938 0.9548

Results
- raw total energy (eV per atom) = -3.509
- spin magnetization (μB/f.u.) = 0.00
- space group = No. 1


Entry 5:
Entry from Alexandria via LeMat-Bulk: an optimized crystal structure of TbPm2Pr4Dy (PBE-GGA).

abc: 5.2044 5.1755 11.5102
angles: 63.16 90.00 90.00
Fractional positions:
Tb 0.5000 0.5000 0.0000
Pm 0.0000 0.0000 0.0000
Pm 0.5000 0.0000 0.5000
Pr 0.0000 0.7510 0.7493
Pr 0.0000 0.2490 0.2507
Pr 0.5000 0.7501 0.2499
Pr 0.5000 0.2499 0.7501
Dy 0.0000 0.5000 0.5000

Results
- raw total energy (eV per atom) = -4.718
- spin magnetization (μB/f.u.) = 0.00
- space group = No. 10


Entry 6:
Entry from Alexandria via LeMat-Bulk: an optimized crystal structure of Rb12Na6Cd (PBE-GGA).

abc: 11.3291 11.3291 11.3291
angles: 76.36 76.36 76.36
Fractional positions:
Rb 0.4771 0.1785 0.5709
Rb 0.1785 0.5709 0.4771
Rb 0.5709 0.4771 0.1785
Rb 0.5229 0.8215 0.4291
Rb 0.8215 0.4291 0.5229
Rb 0.4291 0.5229 0.8215
Rb 0.1240 0.8751 0.7151
Rb 0.2849 0.8760 0.1249
Rb 0.1249 0.2849 0.8760
Rb 0.8760 0.1249 0.2849
Rb 0.7151 0.1240 0.8751
Rb 0.8751 0.7151 0.1240
Na 0.1685 0.1742 0.4285
Na 0.8258 0.5715 0.8315
Na 0.5715 0.8315 0.8258
Na 0.8315 0.8258 0.5715
Na 0.1742 0.4285 0.1685
Na 0.4285 0.1685 0.1742
Cd 0.0000 0.0000 0.0000

Results
- raw total energy (eV per atom) = -1.014
- spin magnetization (μB/f.u.) = 0.00
- space group = No. 148


Q: Look up the raw total energy of the fourth one.
A: -3.509 eV per atom


Q: Look up the raw total energy of the sixth one.
A: -1.014 eV per atom